Density functional theory data (GGA-PBE) for a relaxed PaB2PdO8 crystal.

Cell: 4.8834 4.8834 6.5288 Å, 90.00 90.00 120.00°
Closest atoms and distances in Å follow each position.
Space group P-3m1 (No. 164)
One atom of each set of equivalent atoms:
Pa (0.0000, 0.0000, 0.0000) [1 per cell]  6 O 2.31
B (0.3333, 0.6667, 0.2239) [2 per cell]  4 O 1.45
Pd (0.0000, 0.0000, 0.5000) [1 per cell]  6 O 2.01
O (0.1669, 0.3338, 0.2798) [6 per cell]  1 B 1.45
O (0.3333, 0.6667, 0.0015) [2 per cell]  1 B 1.45

Results
- energy relative to the elements, uncorrected (eV/atom) = -1.83

=====

Density functional theory data (GGA-PBE) for a relaxed ZnOF crystal.

Cell: 10.5930 3.1268 4.4237 Å, 90.00 90.00 90.00°
Closest atoms and distances in Å follow each position.
Space group Pnma (No. 62)
One atom of each set of equivalent atoms:
Zn (0.1347, 0.2500, 0.0249) [4 per cell]  3 O 2.01-2.03, 3 F 2.09
O (0.2239, 0.7500, 0.8264) [4 per cell]  3 Zn 2.01-2.03
F (0.0330, 0.7500, 0.2240) [4 per cell]  3 Zn 2.09

Results
- energy relative to the elements, uncorrected (eV/atom) = -1.22

=====

Density functional theory data (GGA-PBE) for a relaxed Ba2CdRuC crystal.

Cell: 5.9597 5.9597 3.9395 Å, 90.00 90.00 90.00°
Closest atoms and distances in Å follow each position.
Space group P4/mmm (No. 123)
One atom of each set of equivalent atoms:
Ba (0.0000, 0.5000, 0.0000) [2 per cell]  2 C 2.98
Cd (0.0000, 0.0000, 0.5000) [1 per cell]  8 Ba 3.57, 2 Cd 3.94
Ru (0.5000, 0.5000, 0.5000) [1 per cell]  2 C 1.97
C (0.5000, 0.5000, 0.0000) [1 per cell]  2 Ru 1.97

Results
- DFT total energy (eV/atom) = -4.521

=====

Density functional theory data (GGA-PBE) for a relaxed Mn2TeOs crystal.

Cell: 2.9912 2.9912 25.3050 Å, 90.00 90.00 120.00°
Closest atoms and distances in Å follow each position.
Space group R3m (No. 160, hexagonal axes)
One atom of each set of equivalent atoms:
Mn (0.0000, 0.0000, 0.0000) [3 per cell]  3 Mn 2.66, 3 Te 2.82
Mn (0.0000, 0.0000, 0.2534) [3 per cell]  3 Os 2.51, 3 Mn 2.66
Te (0.0000, 0.0000, 0.7547) [3 per cell]  3 Mn 2.82, 3 Os 2.92, 6 Te 2.99
Os (0.0000, 0.0000, 0.5145) [3 per cell]  3 Mn 2.51

Results
- energy relative to the elements, uncorrected (eV/atom) = 0.67

=====

Density functional theory data (GGA-PBE) for a relaxed Ba3NaPm2Se6 crystal.

Cell: 7.7027 13.3353 7.7881 Å, 90.00 109.17 90.00°
Closest atoms and distances in Å follow each position.
Space group C2/m (No. 12)
One atom of each set of equivalent atoms:
Ba (0.0000, 0.0000, 0.0000) [2 per cell]  6 Se 3.24-3.31
Ba (0.0000, 0.3371, 0.0000) [4 per cell]  6 Se 3.25-3.31
Na (0.0000, 0.5000, 0.5000) [2 per cell]  6 Se 3.09-3.12
Pm (0.0000, 0.1674, 0.5000) [4 per cell]  6 Se 3.01
Se (0.2299, 0.0000, 0.7186) [4 per cell]  2 Pm 3.01, 1 Na 3.09, 3 Ba 3.24-3.29
Se (0.2465, 0.3281, 0.7230) [8 per cell]  2 Pm 3.01, 1 Na 3.12, 3 Ba 3.25-3.31

Results
- energy relative to the elements, uncorrected (eV/atom) = -1.86

=====

Density functional theory data (GGA-PBE) for a relaxed CuPt2W crystal.

Cell: 9.1471 2.7599 4.7912 Å, 90.00 98.79 90.00°
Closest atoms and distances in Å follow each position.
Space group Cm (No. 8)
One atom of each set of equivalent atoms:
Cu (0.0000, 0.0000, 0.0000) [2 per cell]  7 Pt 2.64-2.83, 2 Cu 2.76, 3 W 2.80-2.83
Pt (0.2496, 0.0000, 0.7854) [2 per cell]  3 Cu 2.64-2.74, 4 W 2.72-2.81, 5 Pt 2.76-2.88
Pt (0.4977, 0.0000, 0.4836) [2 per cell]  3 W 2.66-2.70, 4 Cu 2.70-2.83, 5 Pt 2.76-2.88
W (0.2515, 0.5000, 0.2754) [2 per cell]  7 Pt 2.66-2.81, 2 W 2.76, 3 Cu 2.80-2.83

Results
- ΔE to the lowest computed polymorph (eV per atom) = 0.104